A plane-wave DFT calculation with PBE-GGA was carried out for a relaxed NaGaBr2 crystal.

Calculated values
Relative energy among the computed polymorphs = 48.3 meV per atom
Energy relative to the elements, uncorrected = -1015.3 meV per atom
Raw total energy = -2.94 eV/atom
Magnetization = 0.00 μB per formula unit

Cell: 4.2705 4.2705 22.5667 Å, 90.00 90.00 120.00°
Space group R3m (No. 160, hexagonal axes)
Symmetry-distinct sites (fractional):
Na (0.0000, 0.0000, 0.0000)
Ga (0.0000, 0.0000, 0.1680)
Br (0.0000, 0.0000, 0.4108)
Br (0.0000, 0.0000, 0.5902)